{"formula": "Mn4CrFe", "functional": "PBE", "state": "optimized geometry", "lattice_angstrom": [[0.000, 3.236, 3.236], [3.236, 0.000, 3.236], [3.236, 3.236, 0.000]], "species": ["Mn", "Mn", "Mn", "Mn", "Fe", "Cr"], "frac_coords": [[0.626, 0.626, 0.123], [0.626, 0.123, 0.626], [0.626, 0.626, 0.626], [0.123, 0.626, 0.626], [0.000, 0.000, 0.000], [0.250, 0.250, 0.250]], "vol_a3_per_atom": 11.293, "e_above_lowest_polymorph_mev_per_atom": 71, "energy_ev_per_cell": -53.8, "ef_ev_per_atom": 0.15, "n_ef_per_ev_cell": 5.1, "spacegroup": "F-43m (216)"}



{"formula": "TlSi2Sb2", "functional": "PBE", "state": "optimized geometry", "lattice_angstrom": [[-2.785, 2.042, 2.878], [-3.222, 0.022, -3.134], [-5.256, -5.243, 2.144]], "species": ["Tl", "Sb", "Sb", "Si", "Si"], "frac_coords": [[0.000, 0.000, 0.000], [0.364, 0.364, 0.272], [0.636, 0.636, 0.728], [0.750, 0.250, 0.500], [0.250, 0.750, 0.500]], "raw_formation_energy_mev_per_atom": 331, "vol_a3_per_atom": 28.461, "e_above_lowest_polymorph_mev_per_atom": 78, "energy_ev_per_cell": -19.8, "n_ef_per_ev_cell": 2.7, "spacegroup": "I4/mmm (139)"}



{"formula": "YAlZn3Cu", "functional": "PBE", "state": "optimized geometry", "lattice_angstrom": [[5.674, 0.000, 0.000], [0.000, 6.208, 0.000], [0.000, -3.104, 6.267]], "species": ["Cu", "Cu", "Y", "Y", "Zn", "Zn", "Zn", "Zn", "Zn", "Zn", "Al", "Al"], "frac_coords": [[0.750, 0.650, 0.300], [0.250, 0.350, 0.700], [0.250, 0.701, 0.401], [0.750, 0.299, 0.599], [0.000, 0.305, 0.000], [0.500, 0.305, 0.000], [0.750, 0.856, 0.712], [0.250, 0.144, 0.288], [0.500, 0.695, 0.000], [0.000, 0.695, 0.000], [0.750, 0.072, 0.143], [0.250, 0.928, 0.857]], "vol_a3_per_atom": 18.396, "energy_ev_per_cell": -36.8, "ef_ev_per_atom": -0.05, "n_ef_per_ev_cell": 4.0, "spacegroup": "Cmcm (63)"}



{"formula": "Hf8Sn2P", "functional": "PBE", "state": "optimized geometry", "lattice_angstrom": [[-2.703, -1.400, -2.078], [0.970, -7.055, 3.493], [-4.244, 3.411, 6.491]], "species": ["Hf", "Hf", "Hf", "Hf", "Hf", "Hf", "Hf", "Hf", "Sn", "Sn", "P"], "frac_coords": [[0.657, 0.042, 0.314], [0.985, 0.771, 0.970], [0.412, 0.485, 0.825], [0.588, 0.515, 0.175], [0.343, 0.958, 0.686], [0.203, 0.359, 0.405], [0.797, 0.641, 0.595], [0.015, 0.229, 0.030], [0.825, 0.241, 0.650], [0.175, 0.759, 0.350], [0.500, 0.000, 0.000]], "vol_a3_per_atom": 21.900, "energy_ev_per_cell": -97.2, "ef_ev_per_atom": -0.38, "n_ef_per_ev_cell": 9.2, "spacegroup": "C2/m (12)"}



{"formula": "LaY3Au4", "functional": "PBE", "state": "optimized geometry", "lattice_angstrom": [[-3.573, 0.673, -3.624], [-4.760, -1.779, 0.727], [-5.016, 7.092, 2.627]], "species": ["Au", "Au", "Au", "Au", "Y", "Y", "Y", "La"], "frac_coords": [[0.128, 0.128, 0.616], [0.618, 0.618, 0.146], [0.382, 0.382, 0.854], [0.872, 0.872, 0.384], [0.248, 0.248, 0.256], [0.752, 0.752, 0.744], [0.500, 0.500, 0.500], [0.000, 0.000, 0.000]], "vol_a3_per_atom": 24.469, "energy_ev_per_cell": -44.0, "ef_ev_per_atom": -0.83, "n_ef_per_ev_cell": 4.9, "spacegroup": "R-3m (166)"}



{"formula": "TlTe2Pd7", "functional": "PBE", "state": "optimized geometry", "lattice_angstrom": [[-3.910, 0.115, -1.308], [1.104, -1.934, -3.471], [-0.516, -8.930, 7.263]], "species": ["Pd", "Pd", "Pd", "Pd", "Pd", "Pd", "Pd", "Tl", "Te", "Te"], "frac_coords": [[0.500, 0.500, 0.000], [0.750, 0.250, 0.500], [0.909, 0.409, 0.817], [0.250, 0.750, 0.500], [0.091, 0.591, 0.183], [0.409, 0.909, 0.817], [0.591, 0.091, 0.183], [0.000, 0.000, 0.000], [0.331, 0.331, 0.663], [0.669, 0.669, 0.337]], "raw_formation_energy_mev_per_atom": -254, "vol_a3_per_atom": 18.962, "energy_ev_per_cell": -47.5, "n_ef_per_ev_cell": 5.5, "spacegroup": "I4/mmm (139)"}



{"formula": "LiCu2Ni2", "functional": "PBE", "state": "optimized geometry", "lattice_angstrom": [[-0.158, 0.619, 4.371], [0.629, -4.500, -1.572], [5.638, 3.423, -0.281]], "species": ["Cu", "Cu", "Cu", "Cu", "Li", "Li", "Ni", "Ni", "Ni", "Ni"], "frac_coords": [[0.862, 0.396, 0.151], [0.138, 0.604, 0.849], [0.466, 0.604, 0.349], [0.534, 0.396, 0.651], [0.661, 0.000, 0.750], [0.339, 0.000, 0.250], [0.258, 0.204, 0.947], [0.946, 0.204, 0.447], [0.742, 0.796, 0.053], [0.054, 0.796, 0.553]], "vol_a3_per_atom": 11.388, "e_above_lowest_polymorph_mev_per_atom": 0, "energy_ev_per_cell": -43.3, "ef_ev_per_atom": 0.00, "n_ef_per_ev_cell": 8.3, "spacegroup": "C2/c (15)"}



{"formula": "AlCu2W", "functional": "PBE", "state": "optimized geometry", "lattice_angstrom": [[8.734, -0.006, -0.003], [8.300, 2.719, -0.003], [8.300, 1.322, 2.376]], "species": ["Cu", "Cu", "Al", "W"], "frac_coords": [[0.000, 0.000, 0.000], [0.253, 0.253, 0.253], [0.746, 0.746, 0.746], [0.501, 0.501, 0.501]], "vol_a3_per_atom": 14.152, "energy_ev_per_cell": -24.4, "ef_ev_per_atom": 0.13, "n_ef_per_ev_cell": 3.0, "spacegroup": "R3m (160)"}